[1]
# ZrTaZn3 PBE relaxed
data_ZrTaZn3
_chemical_formula_sum 'Zr1 Ta1 Zn3'
_cell_length_a 4.8601
_cell_length_b 4.8601
_cell_length_c 4.8601
_cell_angle_alpha 90.00
_cell_angle_beta 90.00
_cell_angle_gamma 90.00
_symmetry_space_group_name_H-M 'P 1'
_symmetry_Int_Tables_number 1
loop_
_symmetry_equiv_pos_as_xyz
'x,y,z'
loop_
_atom_site_label
_atom_site_type_symbol
_atom_site_fract_x
_atom_site_fract_y
_atom_site_fract_z
_atom_site_occupancy
Zr1 Zr 0.0000 0.0000 0.0000 1
Ta1 Ta 0.5000 0.5000 0.5000 1
Zn1 Zn 0.0000 0.0000 0.5000 1
Zn2 Zn 0.0000 0.5000 0.0000 1
Zn3 Zn 0.5000 0.0000 0.0000 1
# Energy above the lowest structure with this stoichiometry = 620 meV per atom
# ΔE_f = 1.6170 eV per atom

***

[2]
# CsSc2Ge PBE relaxed
data_CsSc2Ge
_chemical_formula_sum 'Cs4 Sc8 Ge4'
_cell_length_a 6.3770
_cell_length_b 6.3770
_cell_length_c 17.2035
_cell_angle_alpha 90.00
_cell_angle_beta 90.00
_cell_angle_gamma 90.00
_symmetry_space_group_name_H-M 'P 1'
_symmetry_Int_Tables_number 1
loop_
_symmetry_equiv_pos_as_xyz
'x,y,z'
loop_
_atom_site_label
_atom_site_type_symbol
_atom_site_fract_x
_atom_site_fract_y
_atom_site_fract_z
_atom_site_occupancy
Cs1 Cs 0.0000 0.2500 0.3750 1
Cs2 Cs 0.0000 0.7500 0.6250 1
Cs3 Cs 0.5000 0.2500 0.1250 1
Cs4 Cs 0.5000 0.7500 0.8750 1
Sc1 Sc 0.0000 0.0000 0.0000 1
Sc2 Sc 0.0000 0.5000 0.0000 1
Sc3 Sc 0.2500 0.2500 0.7500 1
Sc4 Sc 0.2500 0.7500 0.2500 1
Sc5 Sc 0.5000 0.0000 0.5000 1
Sc6 Sc 0.5000 0.5000 0.5000 1
Sc7 Sc 0.7500 0.2500 0.7500 1
Sc8 Sc 0.7500 0.7500 0.2500 1
Ge1 Ge 0.0000 0.2500 0.8750 1
Ge2 Ge 0.0000 0.7500 0.1250 1
Ge3 Ge 0.5000 0.2500 0.6250 1
Ge4 Ge 0.5000 0.7500 0.3750 1
# Energy above the lowest structure with this stoichiometry = 366 meV per atom
# ΔE_f = 0.4308 eV per atom

***

[3]
# Ac2InBPd6 PBE relaxed
data_Ac2InBPd6
_chemical_formula_sum 'Ac2 In1 B1 Pd6'
_cell_length_a 5.9638
_cell_length_b 5.9638
_cell_length_c 7.5109
_cell_angle_alpha 113.07
_cell_angle_beta 113.07
_cell_angle_gamma 60.07
_symmetry_space_group_name_H-M 'P 1'
_symmetry_Int_Tables_number 1
loop_
_symmetry_equiv_pos_as_xyz
'x,y,z'
loop_
_atom_site_label
_atom_site_type_symbol
_atom_site_fract_x
_atom_site_fract_y
_atom_site_fract_z
_atom_site_occupancy
Ac1 Ac 0.2341 0.2341 0.1990 1
Ac2 Ac 0.7659 0.7659 0.8010 1
In1 In 0.5000 0.5000 0.0000 1
B1 B 0.0000 0.0000 0.5000 1
Pd1 Pd 0.2284 0.2284 0.6775 1
Pd2 Pd 0.2275 0.7144 0.6736 1
Pd3 Pd 0.2856 0.7725 0.3264 1
Pd4 Pd 0.7144 0.2275 0.6736 1
Pd5 Pd 0.7725 0.2856 0.3264 1
Pd6 Pd 0.7716 0.7716 0.3225 1
# ΔE_f = -0.6793 eV per atom

***

[4]
# Y6GaCo2 PBE relaxed
data_Y6GaCo2
_chemical_formula_sum 'Y12 Ga2 Co4'
_cell_length_a 8.3229
_cell_length_b 8.3229
_cell_length_c 8.3229
_cell_angle_alpha 111.39
_cell_angle_beta 110.20
_cell_angle_gamma 106.86
_symmetry_space_group_name_H-M 'P 1'
_symmetry_Int_Tables_number 1
loop_
_symmetry_equiv_pos_as_xyz
'x,y,z'
loop_
_atom_site_label
_atom_site_type_symbol
_atom_site_fract_x
_atom_site_fract_y
_atom_site_fract_z
_atom_site_occupancy
Y1 Y 0.0306 0.2324 0.7982 1
Y2 Y 0.1841 0.2831 0.4672 1
Y3 Y 0.1841 0.7169 0.9011 1
Y4 Y 0.3177 0.0144 0.6967 1
Y5 Y 0.3177 0.6211 0.3033 1
Y6 Y 0.4342 0.2324 0.2018 1
Y7 Y 0.5658 0.7676 0.7982 1
Y8 Y 0.6823 0.3789 0.6967 1
Y9 Y 0.6823 0.9856 0.3033 1
Y10 Y 0.8159 0.2831 0.0989 1
Y11 Y 0.8159 0.7169 0.5328 1
Y12 Y 0.9694 0.7676 0.2018 1
Ga1 Ga 0.0000 0.0000 0.0000 1
Ga2 Ga 0.5000 0.5000 0.0000 1
Co1 Co 0.1118 0.6118 0.5000 1
Co2 Co 0.3752 0.0000 0.3752 1
Co3 Co 0.6248 0.0000 0.6248 1
Co4 Co 0.8882 0.3882 0.5000 1
# ΔE_f = -0.2833 eV per atom

***

[5]
# K3CaCu2Cl9 PBE relaxed
data_K3CaCu2Cl9
_chemical_formula_sum 'K3 Ca1 Cu2 Cl9'
_cell_length_a 7.0760
_cell_length_b 7.0760
_cell_length_c 8.8262
_cell_angle_alpha 90.00
_cell_angle_beta 90.00
_cell_angle_gamma 120.00
_symmetry_space_group_name_H-M 'P 1'
_symmetry_Int_Tables_number 1
loop_
_symmetry_equiv_pos_as_xyz
'x,y,z'
loop_
_atom_site_label
_atom_site_type_symbol
_atom_site_fract_x
_atom_site_fract_y
_atom_site_fract_z
_atom_site_occupancy
K1 K 0.0000 0.0000 0.0000 1
K2 K 0.3333 0.6667 0.6856 1
K3 K 0.6667 0.3333 0.3144 1
Ca1 Ca 0.0000 0.0000 0.5000 1
Cu1 Cu 0.3333 0.6667 0.1542 1
Cu2 Cu 0.6667 0.3333 0.8458 1
Cl1 Cl 0.0000 0.5000 0.0000 1
Cl2 Cl 0.1733 0.3466 0.3150 1
Cl3 Cl 0.1733 0.8267 0.3150 1
Cl4 Cl 0.3466 0.1733 0.6850 1
Cl5 Cl 0.5000 0.0000 0.0000 1
Cl6 Cl 0.5000 0.5000 0.0000 1
Cl7 Cl 0.6534 0.8267 0.3150 1
Cl8 Cl 0.8267 0.1733 0.6850 1
Cl9 Cl 0.8267 0.6534 0.6850 1
# Formation energy without anion corrections = -1.420 eV per atom

***

[6]
# TaNbMo6 PBE relaxed
data_TaNbMo6
_chemical_formula_sum 'Ta2 Nb2 Mo12'
_cell_length_a 4.5240
_cell_length_b 9.0273
_cell_length_c 6.4068
_cell_angle_alpha 90.00
_cell_angle_beta 90.00
_cell_angle_gamma 90.00
_symmetry_space_group_name_H-M 'P 1'
_symmetry_Int_Tables_number 1
loop_
_symmetry_equiv_pos_as_xyz
'x,y,z'
loop_
_atom_site_label
_atom_site_type_symbol
_atom_site_fract_x
_atom_site_fract_y
_atom_site_fract_z
_atom_site_occupancy
Ta1 Ta 0.0000 0.0000 0.0000 1
Ta2 Ta 0.0000 0.5000 0.5000 1
Nb1 Nb 0.5000 0.0000 0.7423 1
Nb2 Nb 0.5000 0.5000 0.2423 1
Mo1 Mo 0.0000 0.0000 0.4943 1
Mo2 Mo 0.0000 0.2501 0.2473 1
Mo3 Mo 0.0000 0.2499 0.7473 1
Mo4 Mo 0.0000 0.5000 0.9943 1
Mo5 Mo 0.0000 0.7499 0.2473 1
Mo6 Mo 0.0000 0.7501 0.7473 1
Mo7 Mo 0.5000 0.0000 0.2487 1
Mo8 Mo 0.5000 0.2488 0.9961 1
Mo9 Mo 0.5000 0.2512 0.4961 1
Mo10 Mo 0.5000 0.5000 0.7487 1
Mo11 Mo 0.5000 0.7488 0.4961 1
Mo12 Mo 0.5000 0.7512 0.9961 1
# Energy above the lowest structure with this stoichiometry = 0 meV per atom
# ΔE_f = -0.0972 eV per atom